(1)
First-principles (PBE) data for a geometry-optimized PmTeBrO4 structure, as listed in the Alexandria database.

* formation energy without anion corrections: -1.68 eV/atom

a b c (Å): 10.846 7.434 7.142
angles (deg): 90.00 106.38 90.00
Space group C2/m (No. 12)
Unique sites:
Pm1 0.230 0.000 0.124 (multiplicity 4)
Te1 0.135 0.500 0.266 (multiplicity 4)
Br1 0.010 0.000 0.757 (multiplicity 4)
O1 0.040 0.500 0.802 (multiplicity 4)
O2 0.201 0.317 0.145 (multiplicity 8)
O3 0.204 0.500 0.529 (multiplicity 4)

---

(2)
First-principles (PBE) data for a geometry-optimized BeFeMo structure, as listed in the Alexandria database.

* ΔE to the lowest computed polymorph: 0.148 eV/atom
* formation enthalpy at 0 K: -0.020 eV/atom

a b c (Å): 2.822 2.822 8.552
angles (deg): 90.00 90.00 90.00
Space group I4mm (No. 107)
Unique sites:
Be1 0.000 0.000 0.000 (multiplicity 2)
Fe1 0.000 0.000 0.629 (multiplicity 2)
Mo1 0.000 0.000 0.311 (multiplicity 2)